No. 1
Computed, not measured: DyMg2In2 after structural relaxation at the PBE-GGA level of DFT.

It has space group C2/m (No. 12), with a = 13.513 Å, b = 4.445 Å, c = 4.446 Å, α = 90.00°, β = 109.08° and γ = 90.00°. The inequivalent atoms are Dy at (0.000, 0.000, 0.000), Mg at (0.250, 0.000, 0.750) and In at (0.107, 0.500, 0.607).

The value obtained for the distance to the lowest polymorph of the same formula is 0.00 kcal/mol of atoms. The crystal system is monoclinic. Its formation energy is -208 meV/atom. The calculated density is 5.80 g/cm3.

No. 2
Computed, not measured: Y2Cd5 after structural relaxation at the PBE-GGA level of DFT.

It has space group Ibam (No. 72), with a = 7.381 Å, b = 14.011 Å, c = 6.635 Å, α = 90.00°, β = 90.00° and γ = 90.00°. The inequivalent atoms are Y at (0.188, 0.102, 0.000), Cd at (0.000, 0.268, 0.250), Cd at (0.000, 0.500, 0.250) and Cd at (0.236, 0.124, 0.500).

The crystal system is orthorhombic. Its formation energy is -261 meV/atom. The calculated density is 7.16 g/cm3.

No. 3
Computed, not measured: Hf8BiPb2 after structural relaxation at the PBE-GGA level of DFT.

It has space group C2/m (No. 12), with a = 16.026 Å, b = 4.437 Å, c = 7.504 Å, α = 90.00°, β = 109.44° and γ = 90.00°. The inequivalent atoms are Hf at (0.046, 0.000, 0.236), Hf at (0.086, 0.500, 0.953), Hf at (0.141, 0.000, 0.695), Hf at (0.182, 0.500, 0.418), Bi at (0.000, 0.500, 0.500) and Pb at (0.221, 0.000, 0.150).

The crystal system is monoclinic. Its formation energy is -13 meV/atom. The calculated density is 13.54 g/cm3.

No. 4
Computed, not measured: LaMnRu2 after structural relaxation at the PBE-GGA level of DFT.

It has space group Cm (No. 8), with a = 9.761 Å, b = 3.118 Å, c = 5.125 Å, α = 90.00°, β = 105.14° and γ = 90.00°. The inequivalent atoms are La at (0.000, 0.000, 0.000), Mn at (0.217, 0.000, 0.665), Ru at (0.266, 0.500, 0.335) and Ru at (0.493, 0.000, 0.473).

The crystal system is monoclinic. Its formation energy is 246 meV/atom. The calculated density is 8.73 g/cm3.

No. 5
Computed, not measured: Ac2La3Nd4 after structural relaxation at the PBE-GGA level of DFT.

It has space group P3m1 (No. 156), with a = 3.7789 Å, b = 3.7789 Å, c = 28.0768 Å, α = 90.00°, β = 90.00° and γ = 120.00°. The inequivalent atoms are Ac at (0.0000, 0.0000, 0.0000), Ac at (0.0000, 0.0000, 0.2281), La at (0.0000, 0.0000, 0.7821), La at (0.3333, 0.6667, 0.1163), La at (0.3333, 0.6667, 0.4593), Nd at (0.0000, 0.0000, 0.3555), Nd at (0.0000, 0.0000, 0.5701), Nd at (0.3333, 0.6667, 0.6731) and Nd at (0.3333, 0.6667, 0.8888).

The value obtained for the distance to the lowest polymorph of the same formula is 0.00 kcal/mol of atoms. The crystal system is trigonal. Its formation energy is 73 meV/atom. The calculated density is 6.92 g/cm3.

Which of these has the lowest calculated density? DyMg2In2